## YInPb2 (PBE-GGA)

Data for an optimized crystal structure of YInPb2.

Its energy of formation from the pure elements is -11.05 kJ/mol of atoms. The value obtained for the total energy is -4.269 eV/atom.

It has space group R-3m (No. 166, hexagonal axes), with a = 3.6684 Å, b = 3.6684 Å, c = 30.5559 Å, α = 90.00°, β = 90.00° and γ = 120.00°. The asymmetric unit holds Y at (0.0000, 0.0000, 0.0000), In at (0.0000, 0.0000, 0.5000) and Pb at (0.0000, 0.0000, 0.2480).